[1]
The following is a DFT calculation (PBE) of a relaxed structure of CsBr3O.

The structure in POSCAR format:
```
CsBr3O
1.0
-3.4861 3.4861 6.1482
3.4861 -3.4861 6.1482
3.4861 3.4861 -6.1482
Cs Br O
2 6 2
Direct
0.2500 0.7500 0.5000
0.7500 0.2500 0.5000
0.1857 0.1857 0.0000
0.2691 0.2691 0.5381
0.2691 0.7309 0.0000
0.7309 0.2691 0.0000
0.7309 0.7309 0.4619
0.8143 0.8143 0.0000
0.0000 0.0000 0.0000
0.5000 0.5000 0.0000
```

Values from the calculation:
- E: -2.49 eV/atom
- V: 29.9 A^3/atom

=====

[2]
The following is a DFT calculation (PBE) of a relaxed structure of Cs4BrO12.

The structure in POSCAR format:
```
Cs4BrO12
1.0
-4.6722 4.6722 4.6722
4.6722 -4.6722 4.6722
4.6722 4.6722 -4.6722
Cs Br O
4 1 12
Direct
0.0000 0.0000 0.5000
0.0000 0.5000 0.0000
0.5000 0.0000 0.0000
0.5000 0.5000 0.5000
0.0000 0.0000 0.0000
0.1109 0.4312 0.5421
0.1109 0.5688 0.6797
0.3203 0.8891 0.4312
0.4312 0.3203 0.8891
0.4312 0.5421 0.1109
0.4579 0.8891 0.5688
0.5421 0.1109 0.4312
0.5688 0.4579 0.8891
0.5688 0.6797 0.1109
0.6797 0.1109 0.5688
0.8891 0.4312 0.3203
0.8891 0.5688 0.4579
```

Values from the calculation:
- E: -4.52 eV/atom
- V: 24.0 A^3/atom

=====

[3]
The following is a DFT calculation (PBE) of a relaxed structure of Cs3BrO.

The structure in POSCAR format:
```
Cs3BrO
1.0
7.3148 -3.0529 0.0000
7.3148 3.0529 0.0000
-1.9805 0.0000 9.4905
Cs Br O
6 2 2
Direct
0.0707 0.0707 0.1784
0.1420 0.1420 0.6358
0.3341 0.3341 0.0374
0.6659 0.6659 0.9626
0.8580 0.8580 0.3642
0.9293 0.9293 0.8216
0.3856 0.3856 0.6214
0.6144 0.6144 0.3786
0.1346 0.1346 0.9166
0.8654 0.8654 0.0834
```

Values from the calculation:
- E: -3.11 eV/atom
- V: 42.4 A^3/atom

=====

[4]
The following is a DFT calculation (PBE) of a relaxed structure of Cs6Br4O.

The structure in POSCAR format:
```
Cs6Br4O
1.0
7.0135 4.0493 5.8845
-7.0135 4.0493 5.8845
0.0000 -8.0985 5.8845
Cs Br O
12 8 2
Direct
0.0561 0.9340 0.7218
0.0660 0.2782 0.9439
0.2218 0.4340 0.5561
0.2782 0.9439 0.0660
0.4340 0.5561 0.2218
0.4439 0.7782 0.5660
0.5561 0.2218 0.4340
0.5660 0.4439 0.7782
0.7218 0.0561 0.9340
0.7782 0.5660 0.4439
0.9340 0.7218 0.0561
0.9439 0.0660 0.2782
0.1297 0.7500 0.3703
0.2500 0.2500 0.2500
0.2500 0.6297 0.8703
0.3703 0.1297 0.7500
0.6297 0.8703 0.2500
0.7500 0.3703 0.1297
0.7500 0.7500 0.7500
0.8703 0.2500 0.6297
0.0000 0.0000 0.0000
0.5000 0.5000 0.5000
```

Values from the calculation:
- E: -3.11 eV/atom
- V: 45.6 A^3/atom

=====

[5]
The following is a DFT calculation (PBE) of a relaxed structure of CsBrO3.

The structure in POSCAR format:
```
CsBrO3
1.0
5.2135 -6.4026 0.0000
5.2135 6.4026 0.0000
-2.2099 0.0000 7.8258
Cs Br O
4 4 12
Direct
0.0956 0.9044 0.7500
0.3112 0.6888 0.2500
0.6888 0.3112 0.7500
0.9044 0.0956 0.2500
0.2037 0.3989 0.7192
0.3989 0.2037 0.2192
0.6011 0.7963 0.7808
0.7963 0.6011 0.2808
0.0213 0.2491 0.6383
0.1533 0.5560 0.8466
0.2491 0.0213 0.1383
0.3114 0.3279 0.3465
0.3279 0.3114 0.8465
0.4440 0.8467 0.6534
0.5560 0.1533 0.3466
0.6721 0.6886 0.1535
0.6886 0.6721 0.6535
0.7509 0.9787 0.8617
0.8467 0.4440 0.1534
0.9787 0.7509 0.3617
```

Values from the calculation:
- E: -4.10 eV/atom
- V: 26.1 A^3/atom

=====

[6]
The following is a DFT calculation (PBE) of a relaxed structure of CsBr2O6.

The structure in POSCAR format:
```
CsBr2O6
1.0
7.2037 -3.6851 0.0000
7.2037 3.6851 0.0000
-4.9335 0.0000 7.0404
Cs Br O
2 4 12
Direct
0.0738 0.9262 0.7500
0.9262 0.0738 0.2500
0.2688 0.3807 0.2616
0.3807 0.2688 0.7616
0.6193 0.7312 0.2384
0.7312 0.6193 0.7384
0.0465 0.3432 0.1318
0.1945 0.6437 0.3626
0.2891 0.3995 0.6117
0.3432 0.0465 0.6318
0.3563 0.8055 0.1374
0.3995 0.2891 0.1117
0.6005 0.7109 0.8883
0.6437 0.1945 0.8626
0.6568 0.9535 0.3682
0.7109 0.6005 0.3883
0.8055 0.3563 0.6374
0.9535 0.6568 0.8682
```

Values from the calculation:
- E: -3.91 eV/atom
- V: 20.8 A^3/atom

=====

[7]
The following is a DFT calculation (PBE) of a relaxed structure of CsBr3O.

The structure in POSCAR format:
```
CsBr3O
1.0
5.1005 0.0000 0.0000
0.0000 5.1005 0.0000
0.0000 0.0000 5.1005
Cs Br O
1 3 1
Direct
0.0000 0.0000 0.0000
0.0000 0.5000 0.5000
0.5000 0.0000 0.5000
0.5000 0.5000 0.0000
0.5000 0.5000 0.5000
```

Values from the calculation:
- E: -2.44 eV/atom
- V: 26.5 A^3/atom

=====

[8]
The following is a DFT calculation (PBE) of a relaxed structure of Cs4Br2O.

The structure in POSCAR format:
```
Cs4Br2O
1.0
14.4331 0.0000 0.0000
0.0000 4.6066 0.0000
-3.9849 0.0000 8.6347
Cs Br O
8 4 2
Direct
0.0551 0.0000 0.3304
0.1425 0.5000 0.0472
0.3575 0.0000 0.9528
0.4449 0.5000 0.6696
0.5551 0.5000 0.3304
0.6425 0.0000 0.0472
0.8575 0.5000 0.9528
0.9449 0.0000 0.6696
0.1598 0.5000 0.6695
0.3402 0.0000 0.3305
0.6598 0.0000 0.6695
0.8402 0.5000 0.3305
0.0000 0.0000 0.0000
0.5000 0.5000 0.0000
```

Values from the calculation:
- E: -3.10 eV/atom
- V: 41.0 A^3/atom

=====

[9]
The following is a DFT calculation (PBE) of a relaxed structure of Cs6BrO2.

The structure in POSCAR format:
```
Cs6BrO2
1.0
7.9586 -3.1361 0.0000
7.9586 3.1361 0.0000
-6.7852 0.0000 8.9645
Cs Br O
6 1 2
Direct
0.0234 0.0234 0.1832
0.2842 0.2842 0.9312
0.3304 0.3304 0.3625
0.6696 0.6696 0.6375
0.7158 0.7158 0.0688
0.9766 0.9766 0.8168
0.0000 0.0000 0.5000
0.1778 0.1778 0.0700
0.8222 0.8222 0.9300
```

Values from the calculation:
- E: -2.88 eV/atom
- V: 49.7 A^3/atom

=====

[10]
The following is a DFT calculation (PBE) of a relaxed structure of CsBr3O6.

The structure in POSCAR format:
```
CsBr3O6
1.0
7.0376 4.0632 1.4555
-7.0376 4.0632 1.4555
0.0000 -8.1264 1.4555
Cs Br O
1 3 6
Direct
0.0000 0.0000 0.0000
0.0955 0.5800 0.5800
0.5800 0.0955 0.5800
0.5800 0.5800 0.0955
0.3104 0.5898 0.5898
0.3551 0.9490 0.9490
0.5898 0.3104 0.5898
0.5898 0.5898 0.3104
0.9490 0.3551 0.9490
0.9490 0.9490 0.3551
```

Values from the calculation:
- E: -3.65 eV/atom
- V: 25.0 A^3/atom

=====

[11]
The following is a DFT calculation (PBE) of a relaxed structure of Cs2BrO6.

The structure in POSCAR format:
```
Cs2BrO6
1.0
5.4952 -3.1755 0.0000
5.4952 3.1755 0.0000
-0.0062 0.0000 5.3563
Cs Br O
2 1 6
Direct
0.1668 0.1668 0.2995
0.8332 0.8332 0.7005
0.5000 0.5000 0.0000
0.2356 0.6326 0.1878
0.3672 0.3672 0.8130
0.3674 0.7644 0.8122
0.6326 0.2356 0.1878
0.6328 0.6328 0.1870
0.7644 0.3674 0.8122
```

Values from the calculation:
- E: -3.85 eV/atom
- V: 20.8 A^3/atom

=====

[12]
The following is a DFT calculation (PBE) of a relaxed structure of Cs2BrO4.

The structure in POSCAR format:
```
Cs2BrO4
1.0
6.8398 0.0000 0.0000
0.0000 6.8398 0.0000
0.0000 0.0000 8.3451
Cs Br O
4 2 8
Direct
0.0000 0.5000 0.0000
0.0000 0.5000 0.5000
0.5000 0.0000 0.0000
0.5000 0.0000 0.5000
0.0000 0.0000 0.2969
0.5000 0.5000 0.7969
0.1783 0.1783 0.2376
0.1783 0.8217 0.2376
0.3217 0.3217 0.7376
0.3217 0.6783 0.7376
0.6783 0.3217 0.7376
0.6783 0.6783 0.7376
0.8217 0.1783 0.2376
0.8217 0.8217 0.2376
```

Values from the calculation:
- E: -3.88 eV/atom
- V: 27.9 A^3/atom